Density functional theory data (GGA-PBE) for Sm8Te4AsSe3 after structural relaxation.

Output
* SG: R-3m
* volume: 456.3 Å³ per cell
* E_form (uncorrected): -1602 meV/atom
* ρ: 7.37 g/cm³

extended XYZ file:
```
16
Lattice="4.286 2.475 7.168 -4.286 2.475 7.168 0.000 -4.950 7.168" Properties=species:S:1:pos:R:3 pbc="T T T"
Sm 0.000 0.000 5.140
Sm -2.113 -1.220 12.306
Sm 0.000 -2.440 9.199
Sm -2.113 1.220 9.199
Sm 2.113 -1.220 12.306
Sm 0.000 2.440 12.306
Sm 2.113 1.220 9.199
Sm 0.000 0.000 16.365
Te 0.000 0.000 0.000
Te -2.143 -1.237 7.168
Te -2.143 1.237 14.337
Te 0.000 2.475 7.168
As 0.000 0.000 10.753
Se -4.286 0.000 10.753
Se -2.143 1.237 3.584
Se 2.143 1.237 3.584
```